[1]
First-principles (PBE-GGA) data for crystalline RbP2RhSe8 at its relaxed geometry, as listed in Alexandria.

E_form (uncorrected)	-2.75	eV/f.u.
space-group type	P-3, No. 147

Cell: 5.986 5.986 10.820 Å, 90.00 90.00 120.00°
Fractional positions:
Rb  0.000  0.000  0.000
P  0.333  0.667  0.705
P  0.667  0.333  0.295
Rh  0.000  0.000  0.500
Se  0.042  0.693  0.358
Se  0.307  0.349  0.358
Se  0.333  0.667  0.905
Se  0.349  0.042  0.642
Se  0.651  0.958  0.358
Se  0.667  0.333  0.095
Se  0.693  0.651  0.642
Se  0.958  0.307  0.642


[2]
First-principles (PBE-GGA) data for crystalline PaCuPt2 at its relaxed geometry, as listed in Alexandria.

calculated formation energy	-652.5	meV/atom
polymorph energy (0 for the lowest one)	0.097	eV per atom
space-group type	P4/mmm, No. 123

Cell: 3.382 3.382 6.263 Å, 90.00 90.00 90.00°
Fractional positions:
Pa  0.000  0.000  0.000
Cu  0.000  0.000  0.500
Pt  0.500  0.500  0.279
Pt  0.500  0.500  0.721


[3]
First-principles (PBE-GGA) data for crystalline TlInNi2 at its relaxed geometry, as listed in Alexandria.

calculated formation energy	398.2	meV/atom
polymorph energy (0 for the lowest one)	0.279	eV per atom
space-group type	I-42d, No. 122

Cell: 5.804 5.804 5.804 Å, 104.71 104.71 119.49°
Fractional positions:
Tl  0.000  0.000  0.000
Tl  0.750  0.250  0.500
In  0.250  0.750  0.500
In  0.500  0.500  0.000
Ni  0.130  0.125  0.505
Ni  0.375  0.870  0.995
Ni  0.620  0.625  0.495
Ni  0.875  0.380  0.005


Energy values (in eV for the cell shown) by entry order: -49.766, -28.284, -30.149.
Total magnetic moment values (in μB per formula unit) by entry order: 0.00, 0.00, 0.00.
V values (in Å³/cell) by entry order: 336, 72, 147.